# PrLuGaCo

An optimized crystal structure of PrLuGaCo (PBE, Alexandria).

The calculation puts the mass density at 8.4 Mg/m³. The formation energy is -247 meV per atom. The final energy comes out at -81.69 eV for the cell shown.

It has space group F-43m (No. 216), with a = 7.045 Å, b = 7.045 Å, c = 7.045 Å, α = 90.00°, β = 90.00° and γ = 90.00°. Symmetry generates all atoms from Pr at (0.000, 0.000, 0.000), Lu at (0.000, 0.000, 0.500), Ga at (0.250, 0.250, 0.750) and Co at (0.250, 0.250, 0.250).